Record 1
The following is a PBE-GGA calculation of ZrNb after structural relaxation, from OQMD via LeMat-Bulk.

Summary:
* SG: P2_1/m (11)
* E: -0.6791 Ry/atom

Structure (CIF):
```
data_ZrNb
_cell_length_a 6.089
_cell_length_b 4.835
_cell_length_c 8.305
_cell_angle_alpha 90.00
_cell_angle_beta 90.34
_cell_angle_gamma 90.00
_symmetry_space_group_name_H-M 'P 1'
_symmetry_Int_Tables_number 1
loop_
_symmetry_equiv_pos_as_xyz
'x,y,z'
loop_
_atom_site_label
_atom_site_fract_x
_atom_site_fract_y
_atom_site_fract_z
_atom_site_occupancy
Zr1 0.096 0.250 0.415 1
Zr2 0.114 0.750 0.924 1
Zr3 0.397 0.250 0.092 1
Zr4 0.603 0.750 0.908 1
Zr5 0.886 0.250 0.076 1
Zr6 0.904 0.750 0.585 1
Nb1 0.252 0.750 0.267 1
Nb2 0.264 0.250 0.742 1
Nb3 0.407 0.750 0.577 1
Nb4 0.593 0.250 0.423 1
Nb5 0.736 0.750 0.258 1
Nb6 0.748 0.250 0.733 1
```

Record 2
The following is a PBE-GGA calculation of AsPdPtO after structural relaxation, from OQMD via LeMat-Bulk.

Summary:
* SG: Pmc2_1 (26)
* energy above the most stable polymorph in this dataset: 0 meV per atom
* E: -0.3928 Ry/atom

Structure (CIF):
```
data_AsPdPtO
_cell_length_a 4.319
_cell_length_b 5.313
_cell_length_c 5.619
_cell_angle_alpha 90.00
_cell_angle_beta 90.00
_cell_angle_gamma 90.00
_symmetry_space_group_name_H-M 'P 1'
_symmetry_Int_Tables_number 1
loop_
_symmetry_equiv_pos_as_xyz
'x,y,z'
loop_
_atom_site_label
_atom_site_fract_x
_atom_site_fract_y
_atom_site_fract_z
_atom_site_occupancy
As1 0.000 0.238 0.000 1
As2 0.000 0.762 0.500 1
Pd1 0.000 0.307 0.566 1
Pd2 0.000 0.693 0.066 1
Pt1 0.500 0.029 0.131 1
Pt2 0.500 0.971 0.631 1
O1 0.500 0.278 0.412 1
O2 0.500 0.722 0.912 1
```

Record 3
The following is a PBE-GGA calculation of Ta2Tl3Mo4N3 after structural relaxation, from OQMD via LeMat-Bulk.

Summary:
* SG: C2/c (15)
* E: -0.6081 Ry/atom

Structure (CIF):
```
data_Ta2Tl3Mo4N3
_cell_length_a 5.756
_cell_length_b 5.756
_cell_length_c 14.013
_cell_angle_alpha 100.75
_cell_angle_beta 100.75
_cell_angle_gamma 56.39
_symmetry_space_group_name_H-M 'P 1'
_symmetry_Int_Tables_number 1
loop_
_symmetry_equiv_pos_as_xyz
'x,y,z'
loop_
_atom_site_label
_atom_site_fract_x
_atom_site_fract_y
_atom_site_fract_z
_atom_site_occupancy
Ta1 0.031 0.827 0.573 1
Ta2 0.173 0.969 0.927 1
Ta3 0.827 0.031 0.073 1
Ta4 0.969 0.173 0.427 1
Tl1 0.080 0.252 0.744 1
Tl2 0.252 0.080 0.244 1
Tl3 0.420 0.580 0.750 1
Tl4 0.580 0.420 0.250 1
Tl5 0.748 0.920 0.756 1
Tl6 0.920 0.748 0.256 1
Mo1 0.187 0.392 0.078 1
Mo2 0.333 0.447 0.423 1
Mo3 0.392 0.187 0.578 1
Mo4 0.447 0.333 0.923 1
Mo5 0.553 0.667 0.077 1
Mo6 0.608 0.813 0.422 1
Mo7 0.667 0.553 0.577 1
Mo8 0.813 0.608 0.922 1
N1 0.000 0.500 0.500 1
N2 0.125 0.689 0.987 1
N3 0.311 0.875 0.513 1
N4 0.500 0.000 0.000 1
N5 0.689 0.125 0.487 1
N6 0.875 0.311 0.013 1
```

- Look up the E of the second one.
  -0.3928 Ry/atom